A relaxed structure of TbMgTlGa, computed with GGA-PBE.

As for the energy relative to the lowest polymorph listed for this composition: 0 meV/atom. Its crystal system is orthorhombic.

Cell: 4.369 4.505 4.698 Å, 90.00 90.00 90.00°
Space group Pmmm (No. 47)
Inequivalent atoms, fractional coordinates:
Tb1 0.000 0.000 0.000 [1 per cell]
Mg1 0.000 0.500 0.500 [1 per cell]
Tl1 0.500 0.000 0.500 [1 per cell]
Ga1 0.500 0.500 0.000 [1 per cell]

***

A relaxed structure of TbMgTlGa, computed with GGA-PBE.

As for the energy relative to the lowest polymorph listed for this composition: 72 meV/atom. Its crystal system is cubic.

Cell: 7.232 7.232 7.232 Å, 90.00 90.00 90.00°
Space group F-43m (No. 216)
Inequivalent atoms, fractional coordinates:
Tb1 0.000 0.000 0.000 [4 per cell]
Mg1 0.000 0.000 0.500 [4 per cell]
Tl1 0.250 0.250 0.250 [4 per cell]
Ga1 0.250 0.250 0.750 [4 per cell]

***

A relaxed structure of TbTmMgGa, computed with GGA-PBE.

Its crystal system is cubic. The total energy comes out at -3.762 eV per atom.

Cell: 7.268 7.268 7.268 Å, 90.00 90.00 90.00°
Space group F-43m (No. 216)
Inequivalent atoms, fractional coordinates:
Tb1 0.000 0.000 0.000 [4 per cell]
Tm1 0.000 0.000 0.500 [4 per cell]
Mg1 0.250 0.250 0.750 [4 per cell]
Ga1 0.250 0.250 0.250 [4 per cell]

***

A relaxed structure of TbYMgGa, computed with GGA-PBE.

Its crystal system is cubic. The total energy comes out at -4.286 eV per atom.

Cell: 7.325 7.325 7.325 Å, 90.00 90.00 90.00°
Space group F-43m (No. 216)
Inequivalent atoms, fractional coordinates:
Tb1 0.000 0.000 0.000 [4 per cell]
Y1 0.000 0.000 0.500 [4 per cell]
Mg1 0.250 0.250 0.250 [4 per cell]
Ga1 0.250 0.250 0.750 [4 per cell]

***

A relaxed structure of TbMgZnGa, computed with GGA-PBE.

Its crystal system is cubic. The total energy comes out at -3.025 eV per atom.

Cell: 6.899 6.899 6.899 Å, 90.00 90.00 90.00°
Space group F-43m (No. 216)
Inequivalent atoms, fractional coordinates:
Tb1 0.000 0.000 0.000 [4 per cell]
Mg1 0.000 0.000 0.500 [4 per cell]
Zn1 0.250 0.250 0.750 [4 per cell]
Ga1 0.250 0.250 0.250 [4 per cell]

***

A relaxed structure of Tb4MgZn2Ga, computed with GGA-PBE.

Its crystal system is trigonal. The total energy comes out at -3.545 eV per atom.

Cell: 5.1358 5.1358 25.2901 Å, 90.00 90.00 120.00°
Space group R-3m (No. 166, hexagonal axes)
Inequivalent atoms, fractional coordinates:
Tb1 0.0000 0.0000 0.1199 [6 per cell]
Tb2 0.0000 0.0000 0.3708 [6 per cell]
Mg1 0.0000 0.0000 0.5000 [3 per cell]
Zn1 0.0000 0.0000 0.2419 [6 per cell]
Ga1 0.0000 0.0000 0.0000 [3 per cell]